1.
# PBE RbPa2Ag2Te6, optimized geometry
data_RbPa2Ag2Te6
_chemical_formula_sum 'Rb1 Pa2 Ag2 Te6'
_symmetry_space_group_name_H-M 'P -1'
_symmetry_Int_Tables_number 2
_symmetry_space_group_name_Hall '-P 1'
_cell_length_a 8.069
_cell_length_b 8.110
_cell_length_c 8.395
_cell_angle_alpha 64.96
_cell_angle_beta 65.73
_cell_angle_gamma 61.26
loop_
_atom_site_label
_atom_site_type_symbol
_atom_site_fract_x
_atom_site_fract_y
_atom_site_fract_z
Rb1 Rb 0.000 0.000 0.000
Pa1 Pa 0.340 0.333 0.988
Ag1 Ag 0.315 0.564 0.437
Te1 Te 0.054 0.470 0.763
Te2 Te 0.325 0.934 0.241
Te3 Te 0.442 0.699 0.765
# * V: 421 Å³ per cell
# * calculated total energy: -51.38 eV per cell
# * crystal system: triclinic
# * N(E_F): 0.6570 states/eV per atom
# * energy relative to the elements, uncorrected: -60.2 kJ/mol of atoms
# * spin magnetization: 1.1 μB/f.u.

2.
# PBE PaReAg, optimized geometry
data_PaReAg
_chemical_formula_sum 'Pa2 Re2 Ag2'
_symmetry_space_group_name_H-M 'P 4/n m m'
_symmetry_Int_Tables_number 129
_cell_length_a 3.624
_cell_length_b 3.624
_cell_length_c 9.430
_cell_angle_alpha 90.00
_cell_angle_beta 90.00
_cell_angle_gamma 90.00
loop_
_symmetry_equiv_pos_as_xyz
'x,y,z'
'-x,-y,-z'
'-y+1/2,x,z'
'y+1/2,-x,-z'
'-x+1/2,-y+1/2,z'
'x+1/2,y+1/2,-z'
'y,-x+1/2,z'
'-y,x+1/2,-z'
'x+1/2,-y,-z'
'-x+1/2,y,z'
'-y,-x,-z'
'y,x,z'
'-x,y+1/2,-z'
'x,-y+1/2,z'
'y+1/2,x+1/2,-z'
'-y+1/2,-x+1/2,z'
loop_
_atom_site_label
_atom_site_type_symbol
_atom_site_fract_x
_atom_site_fract_y
_atom_site_fract_z
Pa1 Pa 0.250 0.250 0.217
Re1 Re 0.250 0.250 0.922
Ag1 Ag 0.250 0.250 0.569
# * V: 124 Å³ per cell
# * calculated total energy: -48.10 eV per cell
# * crystal system: tetragonal
# * N(E_F): 1.0535 states/eV per atom
# * spin magnetization: 0.0 μB/f.u.
# * ΔE_f: 0.249 eV per atom

3.
# PBE ScPaReAg, optimized geometry
data_ScPaReAg
_chemical_formula_sum 'Sc4 Pa4 Re4 Ag4'
_symmetry_space_group_name_H-M 'F -4 3 m'
_symmetry_Int_Tables_number 216
_symmetry_space_group_name_Hall 'F -4 2 3'
_cell_length_a 6.883
_cell_length_b 6.883
_cell_length_c 6.883
_cell_angle_alpha 90.00
_cell_angle_beta 90.00
_cell_angle_gamma 90.00
loop_
_atom_site_label
_atom_site_type_symbol
_atom_site_fract_x
_atom_site_fract_y
_atom_site_fract_z
Sc1 Sc 0.000 0.000 0.000
Pa1 Pa 0.000 0.000 0.500
Re1 Re 0.250 0.250 0.250
Ag1 Ag 0.250 0.250 0.750
# * V: 326 Å³ per cell
# * calculated total energy: -123.99 eV per cell
# * crystal system: cubic
# * N(E_F): 1.5743 states/eV per atom
# * spin magnetization: 0.0 μB/f.u.
# * ΔE_f: 0.032 eV per atom

4.
# PBE PaAgRh, optimized geometry
data_PaAgRh
_chemical_formula_sum 'Pa4 Ag4 Rh4'
_symmetry_space_group_name_H-M 'C 1 2/m 1'
_symmetry_Int_Tables_number 12
_symmetry_space_group_name_Hall '-C 2y'
_cell_length_a 9.417
_cell_length_b 5.060
_cell_length_c 5.247
_cell_angle_alpha 90.00
_cell_angle_beta 103.10
_cell_angle_gamma 90.00
loop_
_atom_site_label
_atom_site_type_symbol
_atom_site_fract_x
_atom_site_fract_y
_atom_site_fract_z
Pa1 Pa 0.137 0.000 0.300
Ag1 Ag 0.049 0.500 0.772
Rh1 Rh 0.204 0.000 0.790
# * V: 243 Å³ per cell
# * calculated total energy: -83.15 eV per cell
# * crystal system: monoclinic
# * N(E_F): 0.8689 states/eV per atom
# * spin magnetization: 0.0 μB/f.u.
# * ΔE_f: -0.363 eV per atom

5.
# PBE Pa2AgRh2, optimized geometry
data_Pa2AgRh2
_chemical_formula_sum 'Pa4 Ag2 Rh4'
_symmetry_space_group_name_H-M 'P 4/m b m'
_symmetry_Int_Tables_number 127
_symmetry_space_group_name_Hall '-P 4 2ab'
_cell_length_a 7.621
_cell_length_b 7.621
_cell_length_c 3.572
_cell_angle_alpha 90.00
_cell_angle_beta 90.00
_cell_angle_gamma 90.00
loop_
_atom_site_label
_atom_site_type_symbol
_atom_site_fract_x
_atom_site_fract_y
_atom_site_fract_z
Pa1 Pa 0.170 0.330 0.000
Ag1 Ag 0.000 0.000 0.500
Rh1 Rh 0.135 0.635 0.500
# * V: 207 Å³ per cell
# * calculated total energy: -78.72 eV per cell
# * crystal system: tetragonal
# * N(E_F): 1.2678 states/eV per atom
# * spin magnetization: 0.0 μB/f.u.
# * ΔE_f: -0.563 eV per atom

6.
# PBE PaAgRh4, optimized geometry
data_PaAgRh4
_chemical_formula_sum 'Pa4 Ag4 Rh16'
_symmetry_space_group_name_H-M 'F -4 3 m'
_symmetry_Int_Tables_number 216
_symmetry_space_group_name_Hall 'F -4 2 3'
_cell_length_a 7.424
_cell_length_b 7.424
_cell_length_c 7.424
_cell_angle_alpha 90.00
_cell_angle_beta 90.00
_cell_angle_gamma 90.00
loop_
_atom_site_label
_atom_site_type_symbol
_atom_site_fract_x
_atom_site_fract_y
_atom_site_fract_z
Pa1 Pa 0.000 0.000 0.000
Ag1 Ag 0.250 0.250 0.750
Rh1 Rh 0.124 0.124 0.376
# * V: 409 Å³ per cell
# * calculated total energy: -176.04 eV per cell
# * crystal system: cubic
# * N(E_F): 0.8452 states/eV per atom
# * spin magnetization: 0.0 μB/f.u.
# * ΔE_f: -0.376 eV per atom

7.
# PBE PaAgSnRh, optimized geometry
data_PaAgSnRh
_chemical_formula_sum 'Pa4 Ag4 Sn4 Rh4'
_symmetry_space_group_name_H-M 'F -4 3 m'
_symmetry_Int_Tables_number 216
_symmetry_space_group_name_Hall 'F -4 2 3'
_cell_length_a 6.900
_cell_length_b 6.900
_cell_length_c 6.900
_cell_angle_alpha 90.00
_cell_angle_beta 90.00
_cell_angle_gamma 90.00
loop_
_atom_site_label
_atom_site_type_symbol
_atom_site_fract_x
_atom_site_fract_y
_atom_site_fract_z
Pa1 Pa 0.000 0.000 0.000
Ag1 Ag 0.250 0.250 0.750
Sn1 Sn 0.000 0.000 0.500
Rh1 Rh 0.250 0.250 0.250
# * V: 328 Å³ per cell
# * calculated total energy: -99.56 eV per cell
# * crystal system: cubic
# * N(E_F): 1.1356 states/eV per atom
# * spin magnetization: 0.0 μB/f.u.
# * ΔE_f: -0.297 eV per atom

8.
# PBE Pa2AgRu, optimized geometry
data_Pa2AgRu
_chemical_formula_sum 'Pa2 Ag1 Ru1'
_symmetry_space_group_name_H-M 'P 4/m m m'
_symmetry_Int_Tables_number 123
_symmetry_space_group_name_Hall '-P 4 2'
_cell_length_a 3.117
_cell_length_b 3.117
_cell_length_c 8.720
_cell_angle_alpha 90.00
_cell_angle_beta 90.00
_cell_angle_gamma 90.00
loop_
_atom_site_label
_atom_site_type_symbol
_atom_site_fract_x
_atom_site_fract_y
_atom_site_fract_z
Pa1 Pa 0.000 0.000 0.222
Ag1 Ag 0.500 0.500 0.500
Ru1 Ru 0.500 0.500 0.000
# * V: 85 Å³ per cell
# * calculated total energy: -31.59 eV per cell
# * crystal system: tetragonal
# * N(E_F): 1.6106 states/eV per atom
# * excess energy over the best structure of this formula in the dataset: 0.000 eV per atom
# * spin magnetization: 0.0 μB/f.u.
# * ΔE_f: -0.117 eV per atom

> Which of these has the highest V?

RbPa2Ag2Te6

> Number 4 is which compound?

PaAgRh

> Look up the spin magnetization of the fourth one.

0.0 μB/f.u.

> Which of these has the highest N(E_F)?

Pa2AgRu